First-principles (PBE-GGA) data for crystalline Bi2TePt at its relaxed geometry, as listed in Alexandria via LeMat-Bulk.

Output
D(E_F) = 0.457 states/eV/atom
Formation energy (no corrections) = -0.189 eV/atom

Geometry as CIF:
```
data_Bi2TePt
_cell_length_a 4.2462
_cell_length_b 4.2462
_cell_length_c 7.6527
_cell_angle_alpha 73.89
_cell_angle_beta 73.89
_cell_angle_gamma 60.00
_space_group_name_H-M_alt 'P 1'
_space_group_IT_number 1
_space_group_name_Hall 'P 1'
loop_
_atom_site_label
_atom_site_type_symbol
_atom_site_fract_x
_atom_site_fract_y
_atom_site_fract_z
Bi1 Bi 0.7337 0.7337 0.7988
Bi2 Bi 0.2663 0.2663 0.2012
Te1 Te 0.5000 0.5000 0.5000
Pt1 Pt 0.0000 0.0000 0.0000
```